Compound: NbFe3Os
Source: the Alexandria database
Functional: PBE
Structure: relaxed

Computed properties:
offset from the most stable computed form	0	meV per atom
final energy	-7.902	eV/atom
formation energy from the elements	1.4359	eV per atom
calculated density	8.6	g/cm3

Cell: 4.4346 4.4346 4.4346 Å, 90.00 90.00 90.00°
Closest atoms and distances in Å follow each position.
Atoms (fractional coordinates):
Fe 0.5000 0.0000 0.0000  2 Os 2.22
Fe 0.0000 0.0000 0.5000  2 Os 2.22
Fe 0.0000 0.5000 0.0000  2 Os 2.22
Nb 0.5000 0.5000 0.5000  12 Fe 3.14
Os 0.0000 0.0000 0.0000  6 Fe 2.22

Compound: ZnCr2Cu
Source: the Alexandria database
Functional: PBE
Structure: relaxed

Computed properties:
final energy	-5.343	eV/atom
formation energy from the elements	0.8114	eV per atom
calculated density	7.2	g/cm3

Cell: 6.7855 6.7855 5.3400 Å, 50.55 50.55 90.00°
Closest atoms and distances in Å follow each position.
Atoms (fractional coordinates):
Cu 0.2500 0.7500 0.5000  2 Zn 2.34, 4 Cr 2.43
Cu 0.5000 0.5000 0.0000  2 Zn 2.34, 4 Cr 2.43
Cr 0.6157 0.1250 0.2500  2 Cr 2.35, 2 Cu 2.43, 2 Zn 2.51
Cr 0.3750 0.3843 0.7500  2 Cr 2.35, 2 Cu 2.43, 2 Zn 2.51
Cr 0.8750 0.8657 0.7500  2 Cr 2.35, 2 Cu 2.43, 2 Zn 2.51
Cr 0.1343 0.6250 0.2500  2 Cr 2.35, 2 Cu 2.43, 2 Zn 2.51
Zn 0.7500 0.2500 0.5000  2 Cu 2.34, 4 Cr 2.51
Zn 0.0000 0.0000 0.0000  2 Cu 2.34, 4 Cr 2.51

Question: What is the calculated density in the first record?
Answer: 8.6 g/cm3

Question: Which of these has the highest final energy?
Answer: ZnCr2Cu

Question: Number 1 is which compound?
Answer: NbFe3Os

Question: calculated density of number 1 (NbFe3Os)?
Answer: 8.6 g/cm3